[1]
# SbSeBr, relaxed, DFT GGA-PBE
# * E_form (uncorrected): -1.096 eV per formula unit
data_SbSeBr
_chemical_formula_sum 'Sb4 Se4 Br4'
_space_group_name_H-M_alt 'C 1 m 1'
_space_group_IT_number 8
_cell_length_a 14.875
_cell_length_b 3.992
_cell_length_c 7.641
_cell_angle_alpha 90.00
_cell_angle_beta 116.16
_cell_angle_gamma 90.00
loop_
_space_group_symop_operation_xyz
'x,y,z'
'x,-y,z'
'x+1/2,y+1/2,z'
'x+1/2,-y+1/2,z'
loop_
_atom_site_label
_atom_site_type_symbol
_atom_site_fract_x
_atom_site_fract_y
_atom_site_fract_z
Sb1 Sb 0.000 0.000 0.000
Sb2 Sb 0.221 0.500 0.746
Se1 Se 0.125 0.500 0.011
Se2 Se 0.327 0.000 0.998
Br1 Br 0.085 0.000 0.427
Br2 Br 0.370 0.500 0.601

---

[2]
# NdIn2Pt, relaxed, DFT GGA-PBE
# * E_form: -0.1 eV/f.u.
data_NdIn2Pt
_chemical_formula_sum 'Nd3 In6 Pt3'
_space_group_name_H-M_alt 'R -3 m'
_space_group_IT_number 166
_space_group_name_Hall '-R 3 2"'
_cell_length_a 3.6061
_cell_length_b 3.6061
_cell_length_c 30.2067
_cell_angle_alpha 90.00
_cell_angle_beta 90.00
_cell_angle_gamma 120.00
loop_
_atom_site_label
_atom_site_type_symbol
_atom_site_fract_x
_atom_site_fract_y
_atom_site_fract_z
Nd1 Nd 0.0000 0.0000 0.0000
In1 In 0.0000 0.0000 0.1073
Pt1 Pt 0.0000 0.0000 0.5000

---

[3]
# CoTcBr2, relaxed, DFT GGA-PBE
# * excess energy over the best structure of this formula in the dataset: 804 meV per atom
# * E_form (uncorrected): 3.842 eV per formula unit
data_CoTcBr2
_chemical_formula_sum 'Co2 Tc2 Br4'
_space_group_name_H-M_alt 'I -4 m 2'
_space_group_IT_number 119
_space_group_name_Hall 'I -4 -2'
_cell_length_a 3.738
_cell_length_b 3.738
_cell_length_c 11.668
_cell_angle_alpha 90.00
_cell_angle_beta 90.00
_cell_angle_gamma 90.00
loop_
_atom_site_label
_atom_site_type_symbol
_atom_site_fract_x
_atom_site_fract_y
_atom_site_fract_z
Co1 Co 0.000 0.000 0.000
Tc1 Tc 0.000 0.500 0.750
Br1 Br 0.000 0.000 0.500
Br2 Br 0.000 0.500 0.250

---

[4]
# DySc2In, relaxed, DFT GGA-PBE
# * excess energy over the best structure of this formula in the dataset: 49 meV per atom
# * E_form: -0.9 eV/f.u.
data_DySc2In
_chemical_formula_sum 'Dy1 Sc2 In1'
_space_group_name_H-M_alt 'P 4/m m m'
_space_group_IT_number 123
_space_group_name_Hall '-P 4 2'
_cell_length_a 3.419
_cell_length_b 3.419
_cell_length_c 8.656
_cell_angle_alpha 90.00
_cell_angle_beta 90.00
_cell_angle_gamma 90.00
loop_
_atom_site_label
_atom_site_type_symbol
_atom_site_fract_x
_atom_site_fract_y
_atom_site_fract_z
Dy1 Dy 0.000 0.000 0.000
Sc1 Sc 0.500 0.500 0.274
In1 In 0.000 0.000 0.500

---

[5]
# PPbCl2, relaxed, DFT GGA-PBE
# * excess energy over the best structure of this formula in the dataset: 398 meV per atom
# * E_form (uncorrected): 0.075 eV per formula unit
data_PPbCl2
_chemical_formula_sum 'P1 Pb1 Cl2'
_space_group_name_H-M_alt 'P 4 m m'
_space_group_IT_number 99
_cell_length_a 3.557
_cell_length_b 3.557
_cell_length_c 8.133
_cell_angle_alpha 90.00
_cell_angle_beta 90.00
_cell_angle_gamma 90.00
loop_
_space_group_symop_operation_xyz
'x,y,z'
'-y,x,z'
'-x,-y,z'
'y,-x,z'
'-x,y,z'
'y,x,z'
'x,-y,z'
'-y,-x,z'
loop_
_atom_site_label
_atom_site_type_symbol
_atom_site_fract_x
_atom_site_fract_y
_atom_site_fract_z
P1 P 0.000 0.000 0.000
Pb1 Pb 0.500 0.500 0.243
Cl1 Cl 0.000 0.000 0.454
Cl2 Cl 0.500 0.500 0.861

---

[6]
# Sm3Rh2, relaxed, DFT GGA-PBE
# * excess energy over the best structure of this formula in the dataset: 69 meV per atom
# * E_form: -3.0 eV/f.u.
data_Sm3Rh2
_chemical_formula_sum 'Sm18 Rh12'
_space_group_name_H-M_alt 'R -3 c'
_space_group_IT_number 167
_space_group_name_Hall '-R 3 2"c'
_cell_length_a 6.9642
_cell_length_b 6.9642
_cell_length_c 19.4353
_cell_angle_alpha 90.00
_cell_angle_beta 90.00
_cell_angle_gamma 120.00
loop_
_atom_site_label
_atom_site_type_symbol
_atom_site_fract_x
_atom_site_fract_y
_atom_site_fract_z
Sm1 Sm 0.0000 0.3454 0.2500
Rh1 Rh 0.0000 0.0000 0.1722

---

| no. | VASP energy (eV/atom) |
| --- | --- |
| 1 | -3.459 |
| 2 | -4.106 |
| 3 | -4.244 |
| 4 | -5.217 |
| 5 | -3.184 |
| 6 | -6.377 |